Entry 1:
Here is LaMgZn2 at its PBEsol-relaxed geometry from Alexandria via LeMat-Bulk. Energies are from SCAN.

The structure in POSCAR format:
```
LaMgZn2
1.0
3.249 0.000 0.000
0.000 3.249 0.000
0.000 0.000 7.947
La Mg Zn
1 1 2
direct
0.000 0.000 0.000 La
0.500 0.500 0.339 Mg
0.000 0.000 0.559 Zn
0.500 0.500 0.723 Zn
```

space group = P4mm (99)
energy of formation from the pure elements = -141 meV per atom


Entry 2:
Here is Co2AgPb at its PBEsol-relaxed geometry from Alexandria via LeMat-Bulk. Energies are from SCAN.

The structure in POSCAR format:
```
Co2AgPb
1.0
4.032 0.000 0.000
0.000 1.565 4.999
0.000 -1.565 4.999
Co Ag Pb
2 1 1
direct
0.000 0.000 0.000 Co
0.500 0.113 0.113 Co
0.500 0.401 0.401 Ag
0.000 0.729 0.729 Pb
```

space group = Amm2 (38)
energy of formation from the pure elements = 482 meV per atom


Entry 3:
Here is Cu2OsAu at its PBEsol-relaxed geometry from Alexandria via LeMat-Bulk. Energies are from SCAN.

The structure in POSCAR format:
```
Cu2OsAu
1.0
2.653 0.000 0.000
0.000 2.653 0.000
0.000 0.000 7.665
Cu Os Au
2 1 1
direct
0.000 0.000 0.000 Cu
0.500 0.500 0.220 Cu
0.000 0.000 0.458 Os
0.500 0.500 0.742 Au
```

space group = P4mm (99)
ΔE to the lowest computed polymorph = 0 meV per atom
energy of formation from the pure elements = 364 meV per atom


Entry 4:
Here is Pr2Ta3Se2O8 at its PBEsol-relaxed geometry from Alexandria via LeMat-Bulk. Energies are from SCAN.

The structure in POSCAR format:
```
Pr2Ta3Se2O8
1.0
9.897 0.000 0.000
0.000 11.816 0.000
0.000 0.000 7.608
Pr Ta Se O
8 12 8 32
direct
0.210 0.156 0.000 Pr
0.228 0.149 0.500 Pr
0.272 0.649 0.000 Pr
0.290 0.656 0.500 Pr
0.710 0.344 0.500 Pr
0.728 0.351 0.000 Pr
0.772 0.851 0.500 Pr
0.790 0.844 0.000 Pr
0.000 0.500 0.286 Ta
0.000 0.500 0.714 Ta
0.135 0.916 0.250 Ta
0.135 0.916 0.750 Ta
0.365 0.416 0.250 Ta
0.365 0.416 0.750 Ta
0.500 0.000 0.214 Ta
0.500 0.000 0.786 Ta
0.635 0.584 0.250 Ta
0.635 0.584 0.750 Ta
0.865 0.084 0.250 Ta
0.865 0.084 0.750 Ta
0.019 0.335 0.500 Se
0.024 0.362 0.000 Se
0.476 0.862 0.500 Se
0.481 0.835 0.000 Se
0.519 0.165 0.000 Se
0.524 0.138 0.500 Se
0.976 0.638 0.000 Se
0.981 0.665 0.500 Se
0.058 0.102 0.255 O
0.058 0.102 0.745 O
0.134 0.949 0.000 O
0.150 0.951 0.500 O
0.197 0.524 0.265 O
0.197 0.524 0.735 O
0.213 0.774 0.248 O
0.213 0.774 0.752 O
0.287 0.274 0.252 O
0.287 0.274 0.748 O
0.303 0.024 0.235 O
0.303 0.024 0.765 O
0.350 0.451 0.000 O
0.366 0.449 0.500 O
0.442 0.602 0.245 O
0.442 0.602 0.755 O
0.558 0.398 0.245 O
0.558 0.398 0.755 O
0.634 0.551 0.500 O
0.650 0.549 0.000 O
0.697 0.976 0.235 O
0.697 0.976 0.765 O
0.713 0.726 0.252 O
0.713 0.726 0.748 O
0.787 0.226 0.248 O
0.787 0.226 0.752 O
0.803 0.476 0.265 O
0.803 0.476 0.735 O
0.850 0.049 0.500 O
0.866 0.051 0.000 O
0.942 0.898 0.255 O
0.942 0.898 0.745 O
```

space group = Pnnm (58)


| no. | total DFT energy (no corrections) (eV per atom) |
| --- | --- |
| 1 | -18.918 |
| 2 | -34.957 |
| 3 | -42.495 |
| 4 | -28.079 |